Record 1
This record from the Alexandria database describes a relaxed structure of La3AlOs. The functional is PBE-GGA.

a b c (Å): 5.535 5.535 5.535
angles (deg): 90.00 90.00 90.00
Positions (direct):
La  0.000  0.000  0.500
La  0.000  0.500  0.000
La  0.500  0.000  0.000
Al  0.500  0.500  0.500
Os  0.000  0.000  0.000

Calculated values
Energy relative to the elements in eV/atom: -0.039
M_tot in μB/atom: 0.000
Crystal system: cubic
Energy above the most stable polymorph in this dataset in eV per atom: 0.000

=====

Record 2
This record from the Alexandria database describes a relaxed structure of La3BiPBr. The functional is PBE-GGA.

a b c (Å): 7.559 4.352 11.849
angles (deg): 90.00 101.96 90.00
Positions (direct):
La  0.041  0.250  0.139
La  0.276  0.250  0.497
La  0.453  0.750  0.854
La  0.547  0.250  0.146
La  0.724  0.750  0.503
La  0.959  0.750  0.861
Bi  0.345  0.750  0.302
Bi  0.655  0.250  0.698
P  0.234  0.250  0.942
P  0.766  0.750  0.058
Br  0.126  0.750  0.640
Br  0.874  0.250  0.360

Calculated values
Energy relative to the elements, uncorrected in eV per atom: -1.305
M_tot in μB/atom: 0.000
Crystal system: monoclinic

=====

Record 3
This record from the Alexandria database describes a relaxed structure of Ag3Ir. The functional is PBE-GGA.

a b c (Å): 9.278 9.278 2.735
angles (deg): 90.00 90.00 120.00
Positions (direct):
Ag  0.000  0.500  0.000
Ag  0.167  0.333  0.333
Ag  0.167  0.833  0.333
Ag  0.333  0.167  0.667
Ag  0.500  0.000  0.000
Ag  0.500  0.500  0.000
Ag  0.667  0.833  0.333
Ag  0.833  0.167  0.667
Ag  0.833  0.667  0.667
Ir  0.000  0.000  0.000
Ir  0.333  0.667  0.667
Ir  0.667  0.333  0.333

Calculated values
Energy relative to the elements in eV/atom: 0.357
M_tot in μB/atom: 0.128
Crystal system: trigonal